# Cs2K2As GGA-PBE relaxed
data_Cs2K2As
_cell_length_a 9.2349
_cell_length_b 9.2349
_cell_length_c 7.2345
_cell_angle_alpha 90.00
_cell_angle_beta 90.00
_cell_angle_gamma 90.00
_space_group_name_H-M_alt 'P 4/m b m'
_space_group_IT_number 127
_space_group_name_Hall '-P 4 2ab'
loop_
_atom_site_label
_atom_site_type_symbol
_atom_site_fract_x
_atom_site_fract_y
_atom_site_fract_z
_atom_site_occupancy
Cs1 Cs 0.1511 0.3489 0.0000 1
K1 K 0.1974 0.6974 0.5000 1
As1 As 0.0000 0.0000 0.0000 1
# Relative energy among the computed polymorphs: 224.8 meV/atom
# Calculated volume: 617.0 Å³/cell